Record 1
A plane-wave DFT calculation with PBE with a Hubbard U was carried out for an optimized crystal structure of VI2NO.

a = 5.4639 Å, b = 5.4639 Å, c = 3.6480 Å
α = 90.00°, β = 90.00°, γ = 90.00°
Last column: nearest neighbours and their distance in Å.
Fractional positions:
N (0.0000, 0.0000, 0.5000)  2 V 1.82
I (0.0000, 0.5000, 0.0000)  2 V 2.73
O (0.5000, 0.5000, 0.5000)  8 I 3.28, 2 O 3.65
V (0.0000, 0.0000, 0.0000)  2 N 1.82
I (0.5000, 0.0000, 0.0000)  2 V 2.73

Output
Symmetry   P4/mmm
Crystal system   tetragonal
Fermi-level density of states   4.165 states/eV/cell
Offset from the most stable computed form   376 meV/atom
Total magnetic moment   2.06 μB/f.u.

=====

Record 2
A plane-wave DFT calculation with PBE with a Hubbard U was carried out for an optimized crystal structure of VIN2O.

a = 3.6539 Å, b = 3.6539 Å, c = 5.9109 Å
α = 90.00°, β = 90.00°, γ = 90.00°
Last column: nearest neighbours and their distance in Å.
Fractional positions:
I (0.0000, 0.0000, 0.5000)  4 O 2.58
N (0.0000, 0.5000, 0.0000)  2 V 1.83
N (0.5000, 0.0000, 0.0000)  2 V 1.83
O (0.5000, 0.5000, 0.5000)  4 I 2.58
V (0.0000, 0.0000, 0.0000)  4 N 1.83

Output
Final energy   -25.9 eV for the cell shown
Symmetry   P4/mmm
Crystal system   tetragonal
Fermi-level density of states   3.141 states/eV/cell
Total magnetic moment   0.45 μB/f.u.

=====

Record 3
A plane-wave DFT calculation with PBE with a Hubbard U was carried out for an optimized crystal structure of VIN2O.

a = 4.0905 Å, b = 4.0905 Å, c = 3.9720 Å
α = 90.00°, β = 90.00°, γ = 90.00°
Last column: nearest neighbours and their distance in Å.
Fractional positions:
O (0.0000, 0.0000, 0.5000)  2 I 1.99
V (0.5000, 0.5000, 0.5000)  8 N 2.85, 4 O 2.89
I (0.0000, 0.0000, 0.0000)  2 O 1.99, 4 N 2.05
N (0.0000, 0.5000, 0.0000)  2 I 2.05
N (0.5000, 0.0000, 0.0000)  2 I 2.05

Output
Final energy   -23.9 eV for the cell shown
Symmetry   P4/mmm
Crystal system   tetragonal
Fermi-level density of states   0.753 states/eV/cell
Total magnetic moment   2.81 μB/f.u.